# Mg6Ga2Ge GGA-PBE optimized geometry
# * space-group type: Immm (71)
data_Mg6Ga2Ge
_cell_length_a 7.907
_cell_length_b 7.907
_cell_length_c 7.907
_cell_angle_alpha 113.58
_cell_angle_beta 112.38
_cell_angle_gamma 102.67
_symmetry_space_group_name_H-M 'P 1'
_symmetry_Int_Tables_number 1
loop_
_symmetry_equiv_pos_as_xyz
'x,y,z'
loop_
_atom_site_label
_atom_site_type_symbol
_atom_site_fract_x
_atom_site_fract_y
_atom_site_fract_z
Mg1 Mg 0.045 0.830 0.215
Mg2 Mg 0.251 0.554 0.303
Mg3 Mg 0.251 0.948 0.697
Mg4 Mg 0.277 0.313 0.590
Mg5 Mg 0.277 0.687 0.964
Mg6 Mg 0.384 0.170 0.215
Mg7 Mg 0.616 0.830 0.785
Mg8 Mg 0.723 0.313 0.036
Mg9 Mg 0.723 0.687 0.410
Mg10 Mg 0.749 0.052 0.303
Mg11 Mg 0.749 0.446 0.697
Mg12 Mg 0.955 0.170 0.785
Ga1 Ga 0.000 0.157 0.157
Ga2 Ga 0.000 0.843 0.843
Ga3 Ga 0.369 0.369 0.000
Ga4 Ga 0.631 0.631 0.000
Ge1 Ge 0.000 0.500 0.500
Ge2 Ge 0.500 0.000 0.500



# MgGa8Ge2 GGA-PBE optimized geometry
# * space-group type: C2/m (12)
data_MgGa8Ge2
_cell_length_a 7.022
_cell_length_b 7.022
_cell_length_c 4.848
_cell_angle_alpha 94.33
_cell_angle_beta 94.33
_cell_angle_gamma 74.62
_symmetry_space_group_name_H-M 'P 1'
_symmetry_Int_Tables_number 1
loop_
_symmetry_equiv_pos_as_xyz
'x,y,z'
loop_
_atom_site_label
_atom_site_type_symbol
_atom_site_fract_x
_atom_site_fract_y
_atom_site_fract_z
Mg1 Mg 0.000 0.000 0.000
Ga1 Ga 0.205 0.642 0.216
Ga2 Ga 0.260 0.260 0.118
Ga3 Ga 0.358 0.795 0.784
Ga4 Ga 0.391 0.391 0.668
Ga5 Ga 0.609 0.609 0.332
Ga6 Ga 0.642 0.205 0.216
Ga7 Ga 0.740 0.740 0.882
Ga8 Ga 0.795 0.358 0.784
Ge1 Ge 0.144 0.144 0.571
Ge2 Ge 0.856 0.856 0.429



# MgGa2Ge GGA-PBE optimized geometry
# * relative energy among the computed polymorphs: 68 meV/atom
# * space-group type: R3m (160)
data_MgGa2Ge
_cell_length_a 6.632
_cell_length_b 6.632
_cell_length_c 6.632
_cell_angle_alpha 34.89
_cell_angle_beta 34.89
_cell_angle_gamma 34.89
_symmetry_space_group_name_H-M 'P 1'
_symmetry_Int_Tables_number 1
loop_
_symmetry_equiv_pos_as_xyz
'x,y,z'
loop_
_atom_site_label
_atom_site_type_symbol
_atom_site_fract_x
_atom_site_fract_y
_atom_site_fract_z
Mg1 Mg 0.000 0.000 0.000
Ga1 Ga 0.429 0.429 0.429
Ga2 Ga 0.574 0.574 0.574
Ge1 Ge 0.836 0.836 0.836



One value per record, in order, for formation energy from the elements: -2.194 1.742 0.485 kcal/mol of atoms.